(1)
Crystalline TaTcP4 at its relaxed geometry, computed with PBE-GGA.

Lattice parameters (Å, degrees): 4.928 4.928 4.928 60.00 60.00 60.00
Element x y z (fractional)
Ta 0.000 0.000 0.000
Tc 0.750 0.750 0.750
P 0.375 0.375 0.375
P 0.375 0.375 0.876
P 0.375 0.876 0.375
P 0.876 0.375 0.375

Properties
Formation energy   0.596 eV/atom
Total magnetic moment   0.00 μB per formula unit

***

(2)
Crystalline HgSbAsI2 at its relaxed geometry, computed with PBE-GGA.

Lattice parameters (Å, degrees): 5.812 5.812 5.580 90.00 90.00 90.00
Element x y z (fractional)
Hg 0.000 0.000 0.000
Sb 0.500 0.500 0.000
As 0.500 0.500 0.500
I 0.000 0.500 0.500
I 0.500 0.000 0.500

Properties
Energy relative to the elements, uncorrected   1.45 eV/f.u.
Total magnetic moment   1.44 μB per formula unit

***

(3)
Crystalline LiCd2In at its relaxed geometry, computed with PBE-GGA.

Lattice parameters (Å, degrees): 3.116 3.116 8.972 90.00 90.00 90.29
Element x y z (fractional)
Li 0.000 0.000 0.000
Cd 0.000 0.000 0.484
Cd 0.500 0.500 0.223
In 0.500 0.500 0.758

Properties
Formation energy   -0.120 eV/atom
Total magnetic moment   0.00 μB per formula unit

***

(4)
Crystalline BeSb3Ru at its relaxed geometry, computed with PBE-GGA.

Lattice parameters (Å, degrees): 5.116 5.116 5.116 90.00 90.00 90.00
Element x y z (fractional)
Be 0.000 0.000 0.000
Sb 0.000 0.500 0.500
Sb 0.500 0.000 0.500
Sb 0.500 0.500 0.000
Ru 0.500 0.500 0.500

Properties
Energy relative to the elements, uncorrected   4.29 eV/f.u.
Total magnetic moment   0.00 μB per formula unit

***

(5)
Crystalline Er3TmPb at its relaxed geometry, computed with PBE-GGA.

Lattice parameters (Å, degrees): 6.178 5.482 8.973 90.00 107.90 90.00
Element x y z (fractional)
Er 0.148 0.250 0.103
Er 0.246 0.750 0.710
Er 0.339 0.250 0.495
Er 0.661 0.750 0.505
Er 0.754 0.250 0.290
Er 0.852 0.750 0.897
Tm 0.482 0.750 0.112
Tm 0.518 0.250 0.888
Pb 0.071 0.750 0.307
Pb 0.929 0.250 0.693

Properties
Formation energy   -0.177 eV/atom
Total magnetic moment   0.00 μB per formula unit

***

(6)
Crystalline Ac3MgAg at its relaxed geometry, computed with PBE-GGA.

Lattice parameters (Å, degrees): 11.274 11.274 5.713 90.00 90.00 150.65
Element x y z (fractional)
Ac 0.063 0.937 0.750
Ac 0.249 0.751 0.750
Ac 0.433 0.567 0.750
Ac 0.567 0.433 0.250
Ac 0.751 0.249 0.250
Ac 0.937 0.063 0.250
Mg 0.155 0.845 0.250
Mg 0.845 0.155 0.750
Ag 0.339 0.661 0.250
Ag 0.661 0.339 0.750

Properties
Formation energy   -0.099 eV/atom
Total magnetic moment   0.00 μB per formula unit

***

(7)
Crystalline La3CuPd at its relaxed geometry, computed with PBE-GGA.

Lattice parameters (Å, degrees): 5.650 5.650 5.650 90.00 90.00 90.00
Element x y z (fractional)
La 0.000 0.000 0.500
La 0.000 0.500 0.000
La 0.500 0.000 0.000
Cu 0.500 0.500 0.500
Pd 0.000 0.000 0.000

Properties
Formation energy   0.125 eV/atom
Total magnetic moment   0.00 μB per formula unit

***

(8)
Crystalline LaTa at its relaxed geometry, computed with PBE-GGA.

Lattice parameters (Å, degrees): 3.049 3.049 5.249 90.00 90.00 90.00
Element x y z (fractional)
La 0.000 0.000 0.000
Ta 0.500 0.500 0.500

Properties
Formation energy   0.625 eV/atom
Total magnetic moment   0.00 μB per formula unit

***

Energy in eV/atom, matching the order above: -6.714, -2.144, -1.740, -4.216, -4.551, -3.453, -4.689, -7.765